# 1
A plane-wave DFT calculation with PBE was carried out for SeI3 after structural relaxation.

Geometry as CIF:
```
data_SeI3
_chemical_formula_sum 'Se4 I12'
_cell_length_a 17.974
_cell_length_b 8.941
_cell_length_c 5.381
_cell_angle_alpha 90.00
_cell_angle_beta 101.47
_cell_angle_gamma 90.00
_space_group_name_H-M_alt 'C 1 m 1'
_space_group_IT_number 8
_space_group_name_Hall 'C -2y'
loop_
_atom_site_label
_atom_site_type_symbol
_atom_site_fract_x
_atom_site_fract_y
_atom_site_fract_z
Se1 Se 0.000 0.000 0.000
Se2 Se 0.135 0.000 0.218
I1 I 0.154 0.237 0.538
I2 I 0.187 0.500 0.891
I3 I 0.349 0.000 0.339
I4 I 0.433 0.264 0.172
```

Properties
V: 53.0 Å³/atom
ΔE_f (raw): -0.009 eV/atom
raw total energy: -2.04 eV per atom

# 2
A plane-wave DFT calculation with PBE was carried out for Se4I after structural relaxation.

Geometry as CIF:
```
data_Se4I
_chemical_formula_sum 'Se4 I1'
_cell_length_a 5.439
_cell_length_b 5.439
_cell_length_c 5.439
_cell_angle_alpha 90.00
_cell_angle_beta 90.00
_cell_angle_gamma 90.00
_space_group_name_H-M_alt 'P m -3 m'
_space_group_IT_number 221
_space_group_name_Hall '-P 4 2 3'
loop_
_atom_site_label
_atom_site_type_symbol
_atom_site_fract_x
_atom_site_fract_y
_atom_site_fract_z
Se1 Se 0.000 0.000 0.000
Se2 Se 0.000 0.500 0.500
I1 I 0.500 0.500 0.500
```

Properties
V: 32.2 Å³/atom
ΔE_f (raw): 1.101 eV/atom
raw total energy: -2.00 eV per atom

# 3
A plane-wave DFT calculation with PBE was carried out for SeI3 after structural relaxation.

Geometry as CIF:
```
data_SeI3
_chemical_formula_sum 'Se2 I6'
_cell_length_a 6.317
_cell_length_b 8.044
_cell_length_c 8.875
_cell_angle_alpha 106.66
_cell_angle_beta 94.50
_cell_angle_gamma 90.41
_space_group_name_H-M_alt 'P 1'
_space_group_IT_number 1
_space_group_name_Hall 'P 1'
loop_
_atom_site_label
_atom_site_type_symbol
_atom_site_fract_x
_atom_site_fract_y
_atom_site_fract_z
Se1 Se 0.000 0.000 0.000
Se2 Se 0.160 0.122 0.828
I1 I 0.211 0.724 0.015
I2 I 0.215 0.208 0.467
I3 I 0.455 0.337 0.004
I4 I 0.496 0.827 0.358
I5 I 0.734 0.883 0.654
I6 I 0.989 0.511 0.549
```

Properties
V: 53.8 Å³/atom
ΔE_f (raw): 0.033 eV/atom
raw total energy: -2.00 eV per atom

# 4
A plane-wave DFT calculation with PBE was carried out for SeI3 after structural relaxation.

Geometry as CIF:
```
data_SeI3
_chemical_formula_sum 'Se2 I6'
_cell_length_a 6.759
_cell_length_b 8.350
_cell_length_c 9.926
_cell_angle_alpha 84.28
_cell_angle_beta 70.24
_cell_angle_gamma 66.48
_space_group_name_H-M_alt 'P 1'
_space_group_IT_number 1
_space_group_name_Hall 'P 1'
loop_
_atom_site_label
_atom_site_type_symbol
_atom_site_fract_x
_atom_site_fract_y
_atom_site_fract_z
Se1 Se 0.000 0.000 0.000
Se2 Se 0.143 0.870 0.496
I1 I 0.003 0.193 0.595
I2 I 0.039 0.565 0.568
I3 I 0.181 0.685 0.095
I4 I 0.265 0.140 0.032
I5 I 0.543 0.735 0.529
I6 I 0.590 0.313 0.070
```

Properties
V: 60.4 Å³/atom
ΔE_f (raw): 0.071 eV/atom
raw total energy: -1.96 eV per atom

# 5
A plane-wave DFT calculation with PBE was carried out for SeI3 after structural relaxation.

Geometry as CIF:
```
data_SeI3
_chemical_formula_sum 'Se2 I6'
_cell_length_a 5.849
_cell_length_b 8.711
_cell_length_c 8.774
_cell_angle_alpha 99.18
_cell_angle_beta 100.55
_cell_angle_gamma 96.72
_space_group_name_H-M_alt 'P 1'
_space_group_IT_number 1
_space_group_name_Hall 'P 1'
loop_
_atom_site_label
_atom_site_type_symbol
_atom_site_fract_x
_atom_site_fract_y
_atom_site_fract_z
Se1 Se 0.000 0.000 0.000
Se2 Se 0.248 0.134 0.880
I1 I 0.223 0.977 0.282
I2 I 0.445 0.936 0.705
I3 I 0.519 0.636 0.045
I4 I 0.719 0.471 0.794
I5 I 0.723 0.473 0.296
I6 I 0.920 0.309 0.541
```

Properties
V: 53.6 Å³/atom
ΔE_f (raw): 0.023 eV/atom
raw total energy: -2.01 eV per atom

# 6
A plane-wave DFT calculation with PBE was carried out for SeI3 after structural relaxation.

Geometry as CIF:
```
data_SeI3
_chemical_formula_sum 'Se4 I12'
_cell_length_a 8.926
_cell_length_b 8.926
_cell_length_c 12.850
_cell_angle_alpha 90.00
_cell_angle_beta 90.00
_cell_angle_gamma 90.00
_space_group_name_H-M_alt 'I 41/a m d'
_space_group_IT_number 141
loop_
_space_group_symop_operation_xyz
'x,y,z'
'-x,-y,-z'
'-y+1/4,x+3/4,z+1/4'
'y+1/4,-x+3/4,-z+1/4'
'-x+1/2,-y,z+1/2'
'x+1/2,y,-z+1/2'
'y+1/4,-x+1/4,z+3/4'
'-y+1/4,x+1/4,-z+3/4'
'x,-y,-z'
'-x,y,z'
'-y+1/4,-x+1/4,-z+3/4'
'y+1/4,x+1/4,z+3/4'
'-x+1/2,y,-z+1/2'
'x+1/2,-y,z+1/2'
'y+1/4,x+3/4,-z+1/4'
'-y+1/4,-x+3/4,z+1/4'
'x+1/2,y+1/2,z+1/2'
'-x+1/2,-y+1/2,-z+1/2'
'-y+3/4,x+1/4,z+3/4'
'y+3/4,-x+1/4,-z+3/4'
'-x,-y+1/2,z'
'x,y+1/2,-z'
'y+3/4,-x+3/4,z+1/4'
'-y+3/4,x+3/4,-z+1/4'
'x+1/2,-y+1/2,-z+1/2'
'-x+1/2,y+1/2,z+1/2'
'-y+3/4,-x+3/4,-z+1/4'
'y+3/4,x+3/4,z+1/4'
'-x,y+1/2,-z'
'x,-y+1/2,z'
'y+3/4,x+1/4,-z+3/4'
'-y+3/4,-x+1/4,z+3/4'
loop_
_atom_site_label
_atom_site_type_symbol
_atom_site_fract_x
_atom_site_fract_y
_atom_site_fract_z
Se1 Se 0.000 0.250 0.375
I1 I 0.000 0.000 0.500
I2 I 0.000 0.250 0.875
```

Properties
V: 64.0 Å³/atom
ΔE_f (raw): 0.300 eV/atom
raw total energy: -1.73 eV per atom